Below is PaAgPd6 after structural relaxation, with properties calculated at the PBE-GGA level.

The structure belongs to space group P4/mmm (No. 123); the cell edges are 4.131, 4.131 and 7.938 Å and the angles 90.00°, 90.00° and 90.00°. The distinct sites, in fractional coordinates, are Pa at (0.000, 0.000, 0.000), Ag at (0.000, 0.000, 0.500), Pd at (0.000, 0.500, 0.248), Pd at (0.500, 0.500, 0.000) and Pd at (0.500, 0.500, 0.500).

The total energy comes out at -47.60 eV/cell. The total magnetization is 0.000 μB/atom. Its formation energy is -4.091 eV/f.u.